This record from the Alexandria database describes a relaxed structure of NpI3. The functional is PBE.

```
NpI3
1.0
4.062 0.000 0.000
0.000 7.846 0.000
-2.031 -3.923 6.078
I Np
3 1
Direct
0.665 0.050 0.330 I
0.335 0.720 0.670 I
0.500 0.348 0.000 I
0.000 0.048 0.000 Np
```

## Properties
ΔE_f (raw): -316 kJ/mol of formula units